No. 1
# Sr2SnAsRu

An optimized crystal structure of Sr2SnAsRu (PBEsol, the Alexandria database).

Lattice parameters (Å, degrees): 5.748 5.748 4.565 90.00 90.00 90.00
Space group P4/mmm (No. 123)
Inequivalent atoms, fractional coordinates:
1 Sr 0.000 0.500 0.000
2 Sn 0.000 0.000 0.500
3 As 0.500 0.500 0.500
4 Ru 0.500 0.500 0.000

Summary:
The electronic total energy is -23.7 eV for the cell shown. For the formation energy, the calculation gives -100.1 meV per atom.

=====

No. 2
# Pt2RhW

An optimized crystal structure of Pt2RhW (PBEsol, the Alexandria database).

Lattice parameters (Å, degrees): 3.879 3.879 7.761 90.00 90.00 90.00
Space group I-4m2 (No. 119)
Inequivalent atoms, fractional coordinates:
1 Pt 0.000 0.000 0.000
2 Pt 0.000 0.500 0.250
3 Rh 0.000 0.500 0.750
4 W 0.000 0.000 0.500

Summary:
The electronic total energy is -74.0 eV for the cell shown. For the formation energy, the calculation gives -287.1 meV per atom.

=====

No. 3
# CaYAs2Br

An optimized crystal structure of CaYAs2Br (PBEsol, the Alexandria database).

Lattice parameters (Å, degrees): 5.320 5.320 5.431 90.00 90.00 90.00
Space group P4/mmm (No. 123)
Inequivalent atoms, fractional coordinates:
1 Ca 0.000 0.000 0.000
2 Y 0.500 0.500 0.500
3 As 0.000 0.500 0.500
4 Br 0.500 0.500 0.000

Summary:
The electronic total energy is -24.4 eV for the cell shown. The uncorrected formation energy comes out at -664 meV/atom.

=====

No. 4
# TcPNF2

An optimized crystal structure of TcPNF2 (PBEsol, the Alexandria database).

Lattice parameters (Å, degrees): 4.372 4.372 3.317 90.00 90.00 90.00
Space group P4/mmm (No. 123)
Inequivalent atoms, fractional coordinates:
1 Tc 0.000 0.000 0.000
2 P 0.500 0.500 0.500
3 N 0.500 0.500 0.000
4 F 0.000 0.500 0.500

Summary:
The electronic total energy is -28.3 eV for the cell shown. The uncorrected formation energy comes out at 233 meV/atom.

=====

No. 5
# Sb3Cl9OF4

An optimized crystal structure of Sb3Cl9OF4 (PBEsol, the Alexandria database).

Lattice parameters (Å, degrees): 7.027 9.794 13.416 90.59 94.49 103.23
Space group P-1 (No. 2)
Inequivalent atoms, fractional coordinates:
1 Sb 0.096 0.142 0.309
2 Sb 0.297 0.561 0.290
3 Sb 0.305 0.235 0.106
4 Cl 0.007 0.906 0.266
5 Cl 0.160 0.324 0.969
6 Cl 0.212 0.655 0.434
7 Cl 0.214 0.839 0.658
8 Cl 0.242 0.134 0.468
9 Cl 0.256 0.009 0.040
10 Cl 0.367 0.689 0.916
11 Cl 0.414 0.490 0.643
12 Cl 0.445 0.761 0.210
13 O 0.345 0.188 0.247
14 F 0.021 0.197 0.161
15 F 0.048 0.555 0.221
16 F 0.154 0.365 0.334
17 F 0.323 0.441 0.166

Summary:
The electronic total energy is -129.5 eV for the cell shown. The uncorrected formation energy comes out at -1180 meV/atom.

=====

No. 6
# SiSe

An optimized crystal structure of SiSe (PBEsol, the Alexandria database).

Lattice parameters (Å, degrees): 6.6029 6.6029 3.3820 90.00 90.00 120.00
Space group P-62m (No. 189)
Inequivalent atoms, fractional coordinates:
1 Si 0.0000 0.0000 0.0000
2 Si 0.3333 0.6667 0.5000
3 Se 0.0000 0.4108 0.0000

Summary:
The electronic total energy is -27.2 eV for the cell shown. The uncorrected formation energy comes out at 269 meV/atom.

=====

No. 7
# SrSiCl3

An optimized crystal structure of SrSiCl3 (PBEsol, the Alexandria database).

Lattice parameters (Å, degrees): 5.486 5.486 5.486 90.00 90.00 90.00
Space group Pm-3m (No. 221)
Inequivalent atoms, fractional coordinates:
1 Sr 0.000 0.000 0.000
2 Si 0.500 0.500 0.500
3 Cl 0.000 0.000 0.500

Summary:
The electronic total energy is -17.5 eV for the cell shown. The uncorrected formation energy comes out at -775 meV/atom.

=====

No. 8
# BeCo2Se

An optimized crystal structure of BeCo2Se (PBEsol, the Alexandria database).

Lattice parameters (Å, degrees): 3.046 3.046 4.731 90.00 90.00 90.00
Space group P4mm (No. 99)
Inequivalent atoms, fractional coordinates:
1 Be 0.000 0.000 0.000
2 Co 0.000 0.000 0.479
3 Co 0.500 0.500 0.162
4 Se 0.500 0.500 0.675

Summary:
The electronic total energy is -23.3 eV for the cell shown. The uncorrected formation energy comes out at 17 meV/atom.

=====

No. 9
# K2NaCa2

An optimized crystal structure of K2NaCa2 (PBEsol, the Alexandria database).

Lattice parameters (Å, degrees): 5.018 5.018 20.960 90.00 90.00 90.00
Space group I4/mmm (No. 139)
Inequivalent atoms, fractional coordinates:
1 K 0.000 0.500 0.250
2 Na 0.000 0.000 0.000
3 Ca 0.000 0.000 0.413

Summary:
The electronic total energy is -12.4 eV for the cell shown. For the formation energy, the calculation gives 342.5 meV per atom.

=====

No. 10
# FeAsPBr2

An optimized crystal structure of FeAsPBr2 (PBEsol, the Alexandria database).

Lattice parameters (Å, degrees): 4.588 4.588 4.894 90.00 90.00 90.00
Space group P4/mmm (No. 123)
Inequivalent atoms, fractional coordinates:
1 Fe 0.000 0.000 0.000
2 As 0.000 0.000 0.500
3 P 0.500 0.500 0.500
4 Br 0.000 0.500 0.000

Summary:
The electronic total energy is -20.3 eV for the cell shown. The uncorrected formation energy comes out at 668 meV/atom.

=====

No. 11
# K2TeSe

An optimized crystal structure of K2TeSe (PBEsol, the Alexandria database).

Lattice parameters (Å, degrees): 3.8001 3.8001 30.4158 90.00 90.00 120.00
Space group R-3m (No. 166, hexagonal axes)
Inequivalent atoms, fractional coordinates:
1 K 0.0000 0.0000 0.2420
2 Te 0.0000 0.0000 0.0000
3 Se 0.0000 0.0000 0.5000

Summary:
The electronic total energy is -35.3 eV for the cell shown. The uncorrected formation energy comes out at -532 meV/atom.

=====

No. 12
# Zn2AgSb

An optimized crystal structure of Zn2AgSb (PBEsol, the Alexandria database).

Lattice parameters (Å, degrees): 3.330 4.134 5.496 90.00 90.00 90.00
Space group Pmm2 (No. 25)
Inequivalent atoms, fractional coordinates:
1 Zn 0.000 0.000 0.000
2 Zn 0.500 0.500 0.074
3 Ag 0.500 0.000 0.379
4 Sb 0.000 0.500 0.635

Summary:
The electronic total energy is -10.6 eV for the cell shown. The uncorrected formation energy comes out at 118 meV/atom.

=====

No. 13
# AgAu2

An optimized crystal structure of AgAu2 (PBEsol, the Alexandria database).

Lattice parameters (Å, degrees): 2.850 4.080 8.649 90.00 90.00 90.00
Space group Immm (No. 71)
Inequivalent atoms, fractional coordinates:
1 Ag 0.000 0.000 0.000
2 Au 0.000 0.000 0.334

Summary:
The electronic total energy is -22.6 eV for the cell shown. For the formation energy, the calculation gives -46.3 meV per atom.

=====

No. 14
# La2SO

An optimized crystal structure of La2SO (PBEsol, the Alexandria database).

Lattice parameters (Å, degrees): 6.691 6.691 6.691 90.00 90.00 90.00
Space group Fm-3m (No. 225)
Inequivalent atoms, fractional coordinates:
1 La 0.250 0.250 0.250
2 S 0.000 0.000 0.000
3 O 0.000 0.000 0.500

Summary:
The electronic total energy is -113.0 eV for the cell shown. The uncorrected formation energy comes out at -1980 meV/atom.

=====

No. 15
# MnNb3S6

An optimized crystal structure of MnNb3S6 (PBEsol, the Alexandria database).

Lattice parameters (Å, degrees): 5.7538 5.7538 12.0126 90.00 90.00 120.00
Space group P6_322 (No. 182)
Inequivalent atoms, fractional coordinates:
1 Mn 0.3333 0.6667 0.2500
2 Nb 0.0000 0.0000 0.0000
3 Nb 0.3333 0.6667 0.5010
4 S 0.0032 0.3327 0.6305

Summary:
The electronic total energy is -159.7 eV for the cell shown. The uncorrected formation energy comes out at -1132 meV/atom.

=====

No. 16
# BaCa2W

An optimized crystal structure of BaCa2W (PBEsol, the Alexandria database).

Lattice parameters (Å, degrees): 10.811 3.182 6.675 90.00 96.13 90.00
Space group C2/m (No. 12)
Inequivalent atoms, fractional coordinates:
1 Ba 0.000 0.000 0.000
2 Ca 0.233 0.000 0.709
3 W 0.000 0.500 0.500

Summary:
The electronic total energy is -32.6 eV for the cell shown. For the formation energy, the calculation gives 983.5 meV per atom.

=====

No. 17
# ScSiP2

An optimized crystal structure of ScSiP2 (PBEsol, the Alexandria database).

Lattice parameters (Å, degrees): 3.556 3.556 5.442 90.00 90.00 90.00
Space group P4mm (No. 99)
Inequivalent atoms, fractional coordinates:
1 Sc 0.000 0.000 0.000
2 Si 0.500 0.500 0.398
3 P 0.000 0.000 0.493
4 P 0.500 0.500 0.973

Summary:
The electronic total energy is -26.6 eV for the cell shown. The uncorrected formation energy comes out at -655 meV/atom.

=====

No. 18
# Si3BW

An optimized crystal structure of Si3BW (PBEsol, the Alexandria database).

Lattice parameters (Å, degrees): 4.021 4.021 4.021 90.00 90.00 90.00
Space group Pm-3m (No. 221)
Inequivalent atoms, fractional coordinates:
1 Si 0.000 0.000 0.500
2 B 0.000 0.000 0.000
3 W 0.500 0.500 0.500

Summary:
The electronic total energy is -33.3 eV for the cell shown. The uncorrected formation energy comes out at 944 meV/atom.

=====

No. 19
# LiBRh2

An optimized crystal structure of LiBRh2 (PBEsol, the Alexandria database).

Lattice parameters (Å, degrees): 6.441 6.441 4.701 90.00 90.00 90.00
Space group I-42d (No. 122)
Inequivalent atoms, fractional coordinates:
1 Li 0.000 0.000 0.000
2 B 0.000 0.000 0.500
3 Rh 0.163 0.750 0.625

Summary:
The electronic total energy is -103.7 eV for the cell shown. For the formation energy, the calculation gives -166.5 meV per atom.

=====

No. 20
# Sr3Li

An optimized crystal structure of Sr3Li (PBEsol, the Alexandria database).

Lattice parameters (Å, degrees): 6.502 7.900 7.070 90.00 90.00 90.00
Space group Pmmn (No. 59, origin choice 2)
Inequivalent atoms, fractional coordinates:
1 Sr 0.250 0.001 0.157
2 Sr 0.250 0.750 0.640
3 Li 0.250 0.250 0.676

Summary:
The electronic total energy is -14.3 eV for the cell shown. For the formation energy, the calculation gives 80.6 meV per atom.